VASP calculation (PBE) on a relaxed Ac2La5TbEr crystal.

Properties
calculated total energy: -41.133 eV/f.u.
D(E_F): 13.25 states/eV/f.u.
formation energy: 9.8 kJ/mol of atoms

Cell lengths 5.672, 11.681, 10.620 Å; angles 90.00, 90.00, 104.05 degrees
Element x y z (fractional)
Ac  0.884  0.769  0.773
Ac  0.116  0.231  0.744
Ac  0.116  0.231  0.273
Ac  0.884  0.769  0.244
La  0.376  0.751  0.008
La  0.723  0.445  0.819
La  0.500  0.000  0.758
La  0.277  0.555  0.697
La  0.995  0.989  0.508
La  0.624  0.249  0.508
La  0.277  0.555  0.319
La  0.500  0.000  0.258
La  0.723  0.445  0.197
La  0.005  0.011  0.008
Tb  0.788  0.575  0.508
Tb  0.212  0.425  0.008
Er  0.603  0.206  0.008
Er  0.397  0.794  0.508